Record 1
CrBi2Pb: relaxed, GGA-PBE.

## Properties
density	7.5	g cm⁻³
space-group type	I-42d, No. 122
DFT total energy	-0.352	Ry per atom
formation enthalpy at 0 K	0.4774	eV/atom
total magnetic moment	0.868	μB per atom

Unit cell a=6.420 b=6.420 c=14.555 alpha=90.00 beta=90.00 gamma=90.00
Positions (direct):
Cr  0.000  0.000  0.000
Cr  0.000  0.500  0.250
Cr  0.500  0.000  0.750
Cr  0.500  0.500  0.500
Bi  0.196  0.250  0.125
Bi  0.250  0.696  0.375
Bi  0.250  0.804  0.875
Bi  0.304  0.250  0.625
Bi  0.696  0.750  0.625
Bi  0.750  0.196  0.875
Bi  0.750  0.304  0.375
Bi  0.804  0.750  0.125
Pb  0.000  0.000  0.500
Pb  0.000  0.500  0.750
Pb  0.500  0.000  0.250
Pb  0.500  0.500  0.000


Record 2
Tb3Dy8Sc2: relaxed, GGA-PBE.

## Properties
energy above the most stable polymorph in this dataset	3.1	meV/atom
density	7.5	g cm⁻³
space-group type	C2/m, No. 12
DFT total energy	-0.341	Ry per atom
formation enthalpy at 0 K	0.2366	eV/atom
total magnetic moment	0.000	μB per atom

Unit cell a=10.451 b=10.451 c=5.567 alpha=90.03 beta=90.03 gamma=42.98
Positions (direct):
Tb  0.000  0.000  0.000
Tb  0.288  0.712  0.500
Tb  0.712  0.288  0.500
Dy  0.135  0.135  0.500
Dy  0.179  0.597  0.000
Dy  0.324  0.324  0.499
Dy  0.403  0.821  0.000
Dy  0.597  0.179  0.000
Dy  0.676  0.676  0.501
Dy  0.821  0.403  0.000
Dy  0.865  0.865  0.500
Sc  0.241  0.241  0.999
Sc  0.759  0.759  0.001


Record 3
La7As5Se: relaxed, GGA-PBE.

## Properties
density	6.0	g cm⁻³
space-group type	Cm, No. 8
DFT total energy	-0.455	Ry per atom
formation energy from raw total energies	-1.482	eV/atom
total magnetic moment	0.074	μB per atom

Unit cell a=7.507 b=7.507 c=25.459 alpha=90.15 beta=90.15 gamma=33.52
Positions (direct):
La  0.000  0.000  0.000
La  0.000  0.000  0.145
La  0.093  0.093  0.717
La  0.094  0.094  0.428
La  0.267  0.267  0.217
La  0.268  0.268  0.928
La  0.361  0.361  0.500
La  0.361  0.361  0.645
La  0.543  0.543  0.287
La  0.543  0.543  0.858
La  0.634  0.634  0.572
La  0.727  0.727  0.073
La  0.818  0.818  0.787
La  0.819  0.819  0.358
As  0.180  0.180  0.823
As  0.181  0.181  0.323
As  0.454  0.454  0.398
As  0.454  0.454  0.748
As  0.633  0.633  0.176
As  0.634  0.634  0.969
As  0.726  0.726  0.676
As  0.728  0.728  0.469
As  0.907  0.907  0.247
As  0.907  0.907  0.898
Se  0.381  0.381  0.071
Se  0.980  0.980  0.574


Record 4
Ac14CePm: relaxed, GGA-PBE.

## Properties
density	8.2	g cm⁻³
space-group type	P4/mmm, No. 123
DFT total energy	-0.310	Ry per atom
formation enthalpy at 0 K	0.0468	eV/atom
total magnetic moment	0.133	μB per atom

Unit cell a=7.891 b=7.891 c=11.218 alpha=90.00 beta=90.00 gamma=90.00
Positions (direct):
Ac  0.000  0.000  0.000
Ac  0.000  0.500  0.000
Ac  0.000  0.500  0.500
Ac  0.249  0.249  0.257
Ac  0.249  0.249  0.743
Ac  0.249  0.751  0.257
Ac  0.249  0.751  0.743
Ac  0.500  0.000  0.000
Ac  0.500  0.000  0.500
Ac  0.500  0.500  0.000
Ac  0.751  0.249  0.257
Ac  0.751  0.249  0.743
Ac  0.751  0.751  0.257
Ac  0.751  0.751  0.743
Ce  0.000  0.000  0.500
Pm  0.500  0.500  0.500


Record 5
HgMo2Os: relaxed, GGA-PBE.

## Properties
density	14.9	g cm⁻³
space-group type	P4/mmm, No. 123
DFT total energy	-0.569	Ry per atom
formation enthalpy at 0 K	0.5525	eV/atom
total magnetic moment	0.000	μB per atom

Unit cell a=3.969 b=3.969 c=4.121 alpha=90.00 beta=90.00 gamma=90.00
Positions (direct):
Hg  0.000  0.000  0.000
Mo  0.000  0.500  0.500
Mo  0.500  0.000  0.500
Os  0.500  0.500  0.000


Record 6
Y2AlP: relaxed, GGA-PBE.

## Properties
energy above the most stable polymorph in this dataset	187.5	meV/atom
density	4.4	g cm⁻³
space-group type	P4/mmm, No. 123
DFT total energy	-0.458	Ry per atom
formation enthalpy at 0 K	-0.7153	eV/atom
total magnetic moment	0.000	μB per atom

Unit cell a=3.580 b=3.580 c=6.912 alpha=90.00 beta=90.00 gamma=90.00
Positions (direct):
Y  0.000  0.000  0.229
Y  0.000  0.000  0.771
Al  0.500  0.500  0.500
P  0.500  0.500  0.000


Record 7
LaNd2: relaxed, GGA-PBE.

## Properties
energy above the most stable polymorph in this dataset	107.1	meV/atom
density	6.6	g cm⁻³
space-group type	I4_1/amd, No. 141
DFT total energy	-0.345	Ry per atom
formation enthalpy at 0 K	0.1228	eV/atom
total magnetic moment	0.000	μB per atom

Unit cell a=3.608 b=3.608 c=33.234 alpha=90.00 beta=90.00 gamma=90.00
Positions (direct):
La  0.000  0.250  0.375
La  0.000  0.750  0.625
La  0.500  0.250  0.125
La  0.500  0.750  0.875
Nd  0.000  0.250  0.796
Nd  0.000  0.250  0.954
Nd  0.000  0.750  0.046
Nd  0.000  0.750  0.204
Nd  0.500  0.250  0.546
Nd  0.500  0.250  0.704
Nd  0.500  0.750  0.296
Nd  0.500  0.750  0.454


Record 8
NpOs2Ru: relaxed, GGA-PBE.

## Properties
density	18.7	g cm⁻³
space-group type	P4/mmm, No. 123
DFT total energy	-0.822	Ry per atom
formation enthalpy at 0 K	-0.0109	eV/atom
total magnetic moment	0.067	μB per atom

Unit cell a=3.991 b=3.991 c=4.001 alpha=90.00 beta=90.00 gamma=90.00
Positions (direct):
Np  0.000  0.000  0.000
Os  0.000  0.500  0.500
Os  0.500  0.000  0.500
Ru  0.500  0.500  0.000


Record 9
Re3Ir: relaxed, GGA-PBE.

## Properties
density	20.7	g cm⁻³
space-group type	R-3m, No. 166
DFT total energy	-0.822	Ry per atom
formation enthalpy at 0 K	0.3633	eV/atom
total magnetic moment	0.000	μB per atom

Unit cell a=8.839 b=8.839 c=2.675 alpha=90.00 beta=90.00 gamma=120.00
Positions (direct):
Re  0.000  0.500  0.000
Re  0.167  0.333  0.333
Re  0.167  0.833  0.333
Re  0.333  0.167  0.667
Re  0.500  0.000  0.000
Re  0.500  0.500  0.000
Re  0.667  0.833  0.333
Re  0.833  0.167  0.667
Re  0.833  0.667  0.667
Ir  0.000  0.000  0.000
Ir  0.333  0.667  0.667
Ir  0.667  0.333  0.333


Record 10
TmTh2Fe2: relaxed, GGA-PBE.

## Properties
energy above the most stable polymorph in this dataset	0.0	meV/atom
density	10.6	g cm⁻³
space-group type	C2/c, No. 15
DFT total energy	-0.533	Ry per atom
formation enthalpy at 0 K	-0.0051	eV/atom
total magnetic moment	0.000	μB per atom

Unit cell a=6.174 b=6.174 c=7.363 alpha=102.38 beta=102.38 gamma=59.07
Positions (direct):
Tm  0.083  0.917  0.750
Tm  0.917  0.083  0.250
Th  0.231  0.451  0.343
Th  0.451  0.231  0.843
Th  0.549  0.769  0.157
Th  0.769  0.549  0.657
Fe  0.060  0.303  0.031
Fe  0.303  0.060  0.531
Fe  0.697  0.940  0.469
Fe  0.940  0.697  0.969


Record 11
TaCdNi: relaxed, GGA-PBE.

## Properties
energy above the most stable polymorph in this dataset	279.0	meV/atom
density	10.8	g cm⁻³
space-group type	F-43m, No. 216
DFT total energy	-0.430	Ry per atom
formation enthalpy at 0 K	0.3377	eV/atom
total magnetic moment	0.001	μB per atom

Unit cell a=5.997 b=5.997 c=5.997 alpha=90.00 beta=90.00 gamma=90.00
Positions (direct):
Ta  0.000  0.000  0.000
Ta  0.000  0.500  0.500
Ta  0.500  0.000  0.500
Ta  0.500  0.500  0.000
Cd  0.000  0.000  0.500
Cd  0.000  0.500  0.000
Cd  0.500  0.000  0.000
Cd  0.500  0.500  0.500
Ni  0.250  0.250  0.250
Ni  0.250  0.750  0.750
Ni  0.750  0.250  0.750
Ni  0.750  0.750  0.250


Record 12
KP2Os: relaxed, GGA-PBE.

## Properties
energy above the most stable polymorph in this dataset	11.8	meV/atom
density	6.2	g cm⁻³
space-group type	C2/m, No. 12
DFT total energy	-0.436	Ry per atom
formation enthalpy at 0 K	-0.1492	eV/atom
total magnetic moment	0.000	μB per atom

Unit cell a=7.368 b=3.071 c=7.044 alpha=90.00 beta=99.67 gamma=90.00
Positions (direct):
K  0.000  0.000  0.000
K  0.500  0.500  0.000
P  0.229  0.000  0.659
P  0.271  0.500  0.341
P  0.729  0.500  0.659
P  0.771  0.000  0.341
Os  0.000  0.500  0.500
Os  0.500  0.000  0.500